An optimized crystal structure of PaTeHO. Source: Alexandria via LeMat-Bulk, functional PBE.

The calculation puts the total energy at -6.95 eV per atom. Its space group is No. 8. The theoretical density comes out at 8.8 g/cm³.

a b c (Å): 3.860 3.860 5.905
angles (deg): 109.19 109.19 59.99
Fractional coordinates of all 4 atoms:
1 Pa 0.000 0.000 0.000
2 Te 0.806 0.806 0.417
3 H 0.632 0.632 0.897
4 O 0.320 0.320 0.961

---

An optimized crystal structure of NdAg4Au. Source: Alexandria via LeMat-Bulk, functional PBE.

The calculation puts the energy of formation at -213 meV per atom. Its space group is No. 216. The theoretical density comes out at 10.5 g/cm³.

a b c (Å): 5.568 5.568 5.568
angles (deg): 60.00 60.00 60.00
Fractional coordinates of all 6 atoms:
1 Nd 0.000 0.000 0.000
2 Ag 0.376 0.376 0.376
3 Ag 0.376 0.376 0.873
4 Ag 0.376 0.873 0.376
5 Ag 0.873 0.376 0.376
6 Au 0.750 0.750 0.750

---

An optimized crystal structure of SbPd15Pb4. Source: Alexandria via LeMat-Bulk, functional PBE.

As for the uncorrected formation energy: -0.313 eV/atom. Its space group is No. 123. The theoretical density comes out at 12.3 g/cm³.

a b c (Å): 4.100 4.100 20.482
angles (deg): 90.00 90.00 90.00
Fractional coordinates of all 20 atoms:
1 Sb 0.000 0.000 0.000
2 Pd 0.000 0.500 0.096
3 Pd 0.000 0.500 0.299
4 Pd 0.000 0.500 0.500
5 Pd 0.000 0.500 0.701
6 Pd 0.000 0.500 0.904
7 Pd 0.500 0.000 0.096
8 Pd 0.500 0.000 0.299
9 Pd 0.500 0.000 0.500
10 Pd 0.500 0.000 0.701
11 Pd 0.500 0.000 0.904
12 Pd 0.500 0.500 0.000
13 Pd 0.500 0.500 0.197
14 Pd 0.500 0.500 0.399
15 Pd 0.500 0.500 0.601
16 Pd 0.500 0.500 0.803
17 Pb 0.000 0.000 0.199
18 Pb 0.000 0.000 0.400
19 Pb 0.000 0.000 0.600
20 Pb 0.000 0.000 0.801